TiHRh3 after structural relaxation. Source: the Alexandria database, functional PBE. Values from VASP.

Cell and atoms, written as Quantum ESPRESSO input:
```
&SYSTEM
  ibrav = 0, nat = 5, ntyp = 3
/
ATOMIC_SPECIES
Rh 102.91 Rh.upf
Ti 47.87 Ti.upf
H 1.01 H.upf
CELL_PARAMETERS angstrom
-1.765 3.301 -0.186
-1.209 -0.448 3.519
4.829 2.696 2.002
ATOMIC_POSITIONS crystal
Rh 0.000 0.000 0.776
Rh 0.500 0.000 0.434
Rh 0.000 0.500 0.434
Ti 0.000 0.000 0.139
H 0.500 0.500 0.481
```

Values from the calculation:
- offset from the most stable computed form (meV/atom) = 798
- space-group type = No. 99
- V (Å³/f.u.) = 82.6

***

TiHRh3 after structural relaxation. Source: the Alexandria database, functional PBE. Values from VASP.

Cell and atoms, written as Quantum ESPRESSO input:
```
&SYSTEM
  ibrav = 0, nat = 10, ntyp = 3
/
ATOMIC_SPECIES
Rh 102.91 Rh.upf
H 1.01 H.upf
Ti 47.87 Ti.upf
CELL_PARAMETERS angstrom
2.730 -6.264 0.000
2.730 6.264 0.000
0.000 0.000 4.797
ATOMIC_POSITIONS crystal
Rh 0.593 0.922 0.250
Rh 0.000 0.000 0.500
Rh 0.407 0.078 0.750
Rh 0.922 0.593 0.750
Rh 0.078 0.407 0.250
Rh 0.000 0.000 0.000
H 0.582 0.418 0.750
H 0.418 0.582 0.250
Ti 0.820 0.180 0.750
Ti 0.180 0.820 0.250
```

Values from the calculation:
- offset from the most stable computed form (meV/atom) = 710
- space-group type = No. 63
- V (Å³/f.u.) = 82.0

***

TiH3Rh3 after structural relaxation. Source: the Alexandria database, functional PBE. Values from VASP.

Cell and atoms, written as Quantum ESPRESSO input:
```
&SYSTEM
  ibrav = 0, nat = 14, ntyp = 3
/
ATOMIC_SPECIES
Rh 102.91 Rh.upf
H 1.01 H.upf
Ti 47.87 Ti.upf
CELL_PARAMETERS angstrom
-0.984 -1.139 4.987
4.515 1.336 2.227
-1.180 4.714 1.876
ATOMIC_POSITIONS crystal
Rh 0.671 0.857 0.159
Rh 0.159 0.671 0.857
Rh 0.329 0.143 0.841
Rh 0.857 0.159 0.671
Rh 0.841 0.329 0.143
Rh 0.143 0.841 0.329
H 0.693 0.093 0.418
H 0.093 0.418 0.693
H 0.907 0.582 0.307
H 0.582 0.307 0.907
H 0.418 0.693 0.093
H 0.307 0.907 0.582
Ti 0.690 0.690 0.690
Ti 0.310 0.310 0.310
```

Values from the calculation:
- offset from the most stable computed form (meV/atom) = 68
- space-group type = No. 148
- V (Å³/f.u.) = 67.3

***

Ti2H2Rh after structural relaxation. Source: the Alexandria database, functional PBE. Values from VASP.

Cell and atoms, written as Quantum ESPRESSO input:
```
&SYSTEM
  ibrav = 0, nat = 10, ntyp = 3
/
ATOMIC_SPECIES
Ti 47.87 Ti.upf
Rh 102.91 Rh.upf
H 1.01 H.upf
CELL_PARAMETERS angstrom
-0.610 4.647 -2.653
-3.234 3.726 1.282
2.510 4.558 1.582
ATOMIC_POSITIONS crystal
Ti 0.499 0.546 0.733
Ti 0.829 0.837 0.778
Ti 0.171 0.163 0.222
Ti 0.501 0.454 0.267
Rh 0.123 0.229 0.741
Rh 0.877 0.771 0.259
H 0.583 0.176 0.024
H 0.744 0.211 0.504
H 0.417 0.824 0.976
H 0.256 0.789 0.496
```

Values from the calculation:
- offset from the most stable computed form (meV/atom) = 124
- space-group type = No. 2
- V (Å³/f.u.) = 51.3

***

Ti2HRh after structural relaxation. Source: the Alexandria database, functional PBE. Values from VASP.

Cell and atoms, written as Quantum ESPRESSO input:
```
&SYSTEM
  ibrav = 0, nat = 4, ntyp = 3
/
ATOMIC_SPECIES
Ti 47.87 Ti.upf
Rh 102.91 Rh.upf
H 1.01 H.upf
CELL_PARAMETERS angstrom
-1.590 -2.346 0.611
1.181 -2.641 -0.189
1.749 -1.277 6.521
ATOMIC_POSITIONS crystal
Ti 0.772 0.772 0.684
Ti 0.228 0.228 0.316
Rh 0.000 0.000 0.000
H 0.500 0.500 0.500
```

Values from the calculation:
- final energy (eV per atom) = -7.0035
- space-group type = No. 166
- V (Å³/f.u.) = 48.5

***

TiHRh after structural relaxation. Source: the Alexandria database, functional PBE. Values from VASP.

Cell and atoms, written as Quantum ESPRESSO input:
```
&SYSTEM
  ibrav = 0, nat = 3, ntyp = 3
/
ATOMIC_SPECIES
Ti 47.87 Ti.upf
H 1.01 H.upf
Rh 102.91 Rh.upf
CELL_PARAMETERS angstrom
-2.154 1.896 -0.553
-1.291 -0.457 3.462
2.516 2.650 -0.714
ATOMIC_POSITIONS crystal
Ti 0.667 0.667 0.333
H 0.166 0.000 0.000
Rh 0.167 0.333 0.667
```

Values from the calculation:
- offset from the most stable computed form (meV/atom) = 245
- space-group type = No. 187
- V (Å³/f.u.) = 35.1

***

Copy entry 5 word for word.
Ti2HRh after structural relaxation. Source: the Alexandria database, functional PBE. Values from VASP.

Cell and atoms, written as Quantum ESPRESSO input:
```
&SYSTEM
  ibrav = 0, nat = 4, ntyp = 3
/
ATOMIC_SPECIES
Ti 47.87 Ti.upf
Rh 102.91 Rh.upf
H 1.01 H.upf
CELL_PARAMETERS angstrom
-1.590 -2.346 0.611
1.181 -2.641 -0.189
1.749 -1.277 6.521
ATOMIC_POSITIONS crystal
Ti 0.772 0.772 0.684
Ti 0.228 0.228 0.316
Rh 0.000 0.000 0.000
H 0.500 0.500 0.500
```

Values from the calculation:
- final energy (eV per atom) = -7.0035
- space-group type = No. 166
- V (Å³/f.u.) = 48.5